# 1
PBE Zr2NbSi2, relaxed; space group = No. 127; energy relative to the elements, uncorrected = -863 meV per atom; magnetic moment = 0.00 μB/atom
1.0
6.899 0.000 0.000
0.000 6.899 0.000
0.000 0.000 3.752
Nb Si Zr
2 4 4
Cartesian
0.000 0.000 0.000 Nb
3.450 3.450 0.000 Nb
2.590 6.039 0.000 Si
6.039 4.309 0.000 Si
4.309 0.860 0.000 Si
0.860 2.590 0.000 Si
1.209 4.659 1.876 Zr
4.659 5.690 1.876 Zr
5.690 2.241 1.876 Zr
2.241 1.209 1.876 Zr

***

# 2
PBE ZrNbSi3, relaxed; space group = No. 221; energy relative to the elements, uncorrected = 590 meV per atom; magnetic moment = 0.00 μB/atom
1.0
4.729 0.000 0.000
0.000 4.729 0.000
0.000 0.000 4.729
Nb Si Zr
1 3 1
Cartesian
0.000 0.000 0.000 Nb
0.000 2.364 0.000 Si
0.000 0.000 2.364 Si
2.364 0.000 0.000 Si
2.364 2.364 2.364 Zr

***

# 3
PBE ZrNbSi, relaxed; space group = No. 38; energy relative to the elements, uncorrected = -408 meV per atom; magnetic moment = 0.00 μB/atom
1.0
2.754 -4.778 0.000
2.754 4.778 0.000
0.000 0.000 8.327
Zr Nb Si
4 4 4
Cartesian
2.754 -1.598 2.533 Zr
2.754 1.573 1.568 Zr
2.754 1.573 6.760 Zr
2.754 -1.598 5.794 Zr
2.754 4.776 1.879 Nb
2.754 4.776 6.448 Nb
4.122 0.803 4.164 Nb
1.385 0.803 4.164 Nb
2.754 3.182 4.164 Si
1.539 -0.879 0.000 Si
3.968 -0.879 0.000 Si
2.754 -2.981 0.000 Si

***

# 4
PBE ZrNbSi, relaxed; space group = No. 12; energy relative to the elements, uncorrected = -260 meV per atom; magnetic moment = 0.00 μB/atom
1.0
4.354 0.000 0.000
-2.177 3.665 -0.896
0.000 -3.183 8.326
Si Nb Zr
2 2 2
Cartesian
0.000 -2.364 6.331 Si
2.177 2.845 1.099 Si
2.177 -0.935 6.891 Nb
0.000 1.416 0.539 Nb
2.177 0.632 2.640 Zr
0.000 -0.151 4.790 Zr

***

# 5
PBE ZrNb3Si, relaxed; space group = No. 221; polymorph energy (0 for the lowest one) = 0 meV per atom; energy relative to the elements, uncorrected = 418 meV per atom; magnetic moment = 0.00 μB/atom
1.0
-1.736 2.188 3.804
2.120 -3.163 2.787
3.842 2.734 0.181
Nb Si Zr
3 1 1
Cartesian
1.060 -1.582 1.394 Nb
1.921 1.367 0.090 Nb
-0.868 1.094 1.902 Nb
0.000 0.000 0.000 Si
2.113 0.880 3.386 Zr

***

# 6
PBE ZrNb2Si2, relaxed; space group = No. 127; energy relative to the elements, uncorrected = -746 meV per atom; magnetic moment = 0.00 μB/atom
1.0
-5.166 -2.851 -3.630
4.376 -1.295 -5.212
0.743 -3.130 1.401
Nb Si Zr
4 4 2
Cartesian
2.425 -2.920 -3.416 Nb
0.535 -4.551 -6.056 Nb
-2.472 -4.355 -4.025 Nb
-0.582 -2.725 -1.385 Nb
1.892 -2.203 -5.924 Si
-1.788 -3.304 -6.433 Si
-2.682 -1.943 -2.918 Si
0.998 -0.841 -2.409 Si
0.000 0.000 0.000 Zr
-0.395 -2.073 -4.421 Zr